[1]
BaMgCd2Pt: optimized geometry, PBE.

Output
The value obtained for the mass density is 6.7 g/cm³. The formation energy is -0.403 eV per atom. Its symmetry is P4/mmm. The value obtained for the total moment is 0.00 μB per formula unit.

Lattice parameters (Å, degrees): 5.344 5.344 5.047 90.00 90.00 90.00
Sites, in units of the cell vectors:
1 Ba 0.000 0.000 0.000
2 Mg 0.500 0.500 0.000
3 Cd 0.000 0.500 0.500
4 Cd 0.500 0.000 0.500
5 Pt 0.500 0.500 0.500

=====

[2]
RbAcMgI6: optimized geometry, PBE.

Output
The value obtained for the mass density is 4.0 g/cm³. Its symmetry is P-31c. The value obtained for the total moment is 0.00 μB per formula unit. The calculation puts the formation energy from raw total energies at -1.354 eV per atom.

Lattice parameters (Å, degrees): 8.111 8.111 16.110 90.00 90.00 120.00
Sites, in units of the cell vectors:
1 Rb 0.000 0.000 0.000
2 Rb 0.000 0.000 0.500
3 Ac 0.333 0.667 0.250
4 Ac 0.667 0.333 0.750
5 Mg 0.333 0.667 0.750
6 Mg 0.667 0.333 0.250
7 I 0.029 0.383 0.640
8 I 0.029 0.646 0.860
9 I 0.354 0.383 0.860
10 I 0.354 0.971 0.640
11 I 0.383 0.029 0.140
12 I 0.383 0.354 0.360
13 I 0.617 0.646 0.640
14 I 0.617 0.971 0.860
15 I 0.646 0.029 0.360
16 I 0.646 0.617 0.140
17 I 0.971 0.354 0.140
18 I 0.971 0.617 0.360

=====

[3]
Er2RhSe: optimized geometry, PBE.

Output
The value obtained for the mass density is 9.6 g/cm³. Its symmetry is Cmcm. The value obtained for the total moment is 0.00 μB per formula unit. The calculation puts the formation energy from raw total energies at -1.304 eV per atom. For the energy above the lowest structure with this stoichiometry, the calculation gives 0.000 eV/atom.

Lattice parameters (Å, degrees): 11.358 11.358 4.137 90.00 90.00 160.38
Sites, in units of the cell vectors:
1 Er 0.063 0.937 0.750
2 Er 0.329 0.671 0.750
3 Er 0.671 0.329 0.250
4 Er 0.937 0.063 0.250
5 Rh 0.455 0.545 0.750
6 Rh 0.545 0.455 0.250
7 Se 0.195 0.805 0.750
8 Se 0.805 0.195 0.250

=====

[4]
TaRuI2N: optimized geometry, PBE.

Output
The value obtained for the mass density is 8.2 g/cm³. Its symmetry is P4/mmm. The value obtained for the total moment is 2.72 μB per formula unit. The calculation puts the formation energy from raw total energies at 1.023 eV per atom. For the energy above the lowest structure with this stoichiometry, the calculation gives 0.155 eV/atom.

Lattice parameters (Å, degrees): 5.514 5.514 3.663 90.00 90.00 90.00
Sites, in units of the cell vectors:
1 Ta 0.000 0.000 0.000
2 Ru 0.500 0.500 0.500
3 I 0.000 0.500 0.500
4 I 0.500 0.000 0.500
5 N 0.500 0.500 0.000

=====

[5]
CuSiB: optimized geometry, PBE.

Output
The value obtained for the mass density is 4.7 g/cm³. Its symmetry is P6_3/mmc. The value obtained for the total moment is 0.00 μB per formula unit. The calculation puts the formation energy from raw total energies at 0.397 eV per atom.

Lattice parameters (Å, degrees): 3.408 3.408 7.201 90.00 90.00 120.00
Sites, in units of the cell vectors:
1 Cu 0.000 0.000 0.000
2 Cu 0.000 0.000 0.500
3 Si 0.333 0.667 0.250
4 Si 0.667 0.333 0.750
5 B 0.333 0.667 0.750
6 B 0.667 0.333 0.250

=====

[6]
FeMoP2: optimized geometry, PBE.

Output
The value obtained for the mass density is 5.1 g/cm³. The formation energy is 0.073 eV per atom. Its symmetry is I-42d. The value obtained for the total moment is 0.00 μB per formula unit.

Lattice parameters (Å, degrees): 6.135 6.135 6.135 128.33 128.33 76.09
Sites, in units of the cell vectors:
1 Fe 0.000 0.000 0.000
2 Fe 0.750 0.250 0.500
3 Mo 0.250 0.750 0.500
4 Mo 0.500 0.500 0.000
5 P 0.093 0.625 0.968
6 P 0.375 0.343 0.468
7 P 0.657 0.125 0.032
8 P 0.875 0.907 0.532

=====

[7]
TbPu2Bi: optimized geometry, PBE.

Output
The value obtained for the mass density is 12.8 g/cm³. The formation energy is -0.254 eV per atom. Its symmetry is P4/mmm. The value obtained for the total moment is 12.51 μB per formula unit.

Lattice parameters (Å, degrees): 4.621 4.621 5.212 90.00 90.00 90.00
Sites, in units of the cell vectors:
1 Tb 0.000 0.000 0.000
2 Pu 0.000 0.500 0.500
3 Pu 0.500 0.000 0.500
4 Bi 0.500 0.500 0.000

=====

[8]
Ho8Te3P3Se: optimized geometry, PBE.

Output
The value obtained for the mass density is 7.8 g/cm³. Its symmetry is R-3m. The value obtained for the total moment is 0.00 μB per formula unit. The calculation puts the formation energy from raw total energies at -1.423 eV per atom.

Lattice parameters (Å, degrees): 8.359 8.359 8.359 58.25 58.25 58.25
Sites, in units of the cell vectors:
1 Ho 0.223 0.749 0.749
2 Ho 0.236 0.236 0.236
3 Ho 0.251 0.251 0.777
4 Ho 0.251 0.777 0.251
5 Ho 0.749 0.223 0.749
6 Ho 0.749 0.749 0.223
7 Ho 0.764 0.764 0.764
8 Ho 0.777 0.251 0.251
9 Te 0.000 0.500 0.500
10 Te 0.500 0.000 0.500
11 Te 0.500 0.500 0.000
12 P 0.000 0.000 0.500
13 P 0.000 0.500 0.000
14 P 0.500 0.000 0.000
15 Se 0.500 0.500 0.500

=====

[9]
Sm2Co3CuGe4: optimized geometry, PBE.

Output
The value obtained for the mass density is 8.3 g/cm³. The formation energy is -0.538 eV per atom. Its symmetry is P-4m2. The value obtained for the total moment is 0.90 μB per formula unit.

Lattice parameters (Å, degrees): 4.129 4.129 9.760 90.00 90.00 90.00
Sites, in units of the cell vectors:
1 Sm 0.000 0.500 0.245
2 Sm 0.500 0.000 0.755
3 Co 0.000 0.500 0.877
4 Co 0.500 0.000 0.123
5 Co 0.500 0.500 0.500
6 Cu 0.000 0.000 0.500
7 Ge 0.000 0.000 0.000
8 Ge 0.000 0.500 0.637
9 Ge 0.500 0.000 0.363
10 Ge 0.500 0.500 0.000

=====

[10]
Dy3Ge3Os2: optimized geometry, PBE.

Output
The value obtained for the mass density is 11.2 g/cm³. The formation energy is -0.646 eV per atom. Its symmetry is Cmcm. The value obtained for the total moment is 0.00 μB per formula unit.

Lattice parameters (Å, degrees): 5.836 5.836 13.904 90.00 90.00 136.93
Sites, in units of the cell vectors:
1 Dy 0.077 0.923 0.614
2 Dy 0.077 0.923 0.886
3 Dy 0.353 0.647 0.750
4 Dy 0.647 0.353 0.250
5 Dy 0.923 0.077 0.114
6 Dy 0.923 0.077 0.386
7 Ge 0.335 0.665 0.250
8 Ge 0.384 0.616 0.540
9 Ge 0.384 0.616 0.960
10 Ge 0.616 0.384 0.040
11 Ge 0.616 0.384 0.460
12 Ge 0.665 0.335 0.750
13 Os 0.213 0.787 0.084
14 Os 0.213 0.787 0.416
15 Os 0.787 0.213 0.584
16 Os 0.787 0.213 0.916

=====

[11]
CeSc2Al9: optimized geometry, PBE.

Output
The value obtained for the mass density is 3.6 g/cm³. The formation energy is -0.412 eV per atom. Its symmetry is P4/mmm. The value obtained for the total moment is 0.00 μB per formula unit.

Lattice parameters (Å, degrees): 4.196 4.196 12.528 90.00 90.00 90.00
Sites, in units of the cell vectors:
1 Ce 0.000 0.000 0.000
2 Sc 0.000 0.000 0.338
3 Sc 0.000 0.000 0.662
4 Al 0.000 0.500 0.176
5 Al 0.000 0.500 0.500
6 Al 0.000 0.500 0.824
7 Al 0.500 0.000 0.176
8 Al 0.500 0.000 0.500
9 Al 0.500 0.000 0.824
10 Al 0.500 0.500 0.000
11 Al 0.500 0.500 0.337
12 Al 0.500 0.500 0.663

=====

[12]
AlCu2Au: optimized geometry, PBE.

Output
The value obtained for the mass density is 10.2 g/cm³. The formation energy is -0.179 eV per atom. Its symmetry is Imma. The value obtained for the total moment is 0.00 μB per formula unit.

Lattice parameters (Å, degrees): 5.324 5.324 5.324 118.30 105.06 105.44
Sites, in units of the cell vectors:
1 Al 0.287 0.037 0.250
2 Al 0.713 0.963 0.750
3 Cu 0.203 0.000 0.703
4 Cu 0.203 0.500 0.203
5 Cu 0.797 0.000 0.297
6 Cu 0.797 0.500 0.797
7 Au 0.299 0.549 0.750
8 Au 0.701 0.451 0.250